Here is an optimized crystal structure of CaFeAs2 from the Alexandria database. Energies are from PBE.

Properties
crystal system = tetragonal
energy relative to the elements = -0.56 eV per formula unit
magnetization = 2.28 μB/f.u.
electronic total energy = -0.3735 Ry/atom

Unit cell a=3.424 b=3.424 c=6.686 alpha=90.00 beta=90.00 gamma=90.00
Positions (direct):
Ca: 0.000 0.000 0.000
Fe: 0.500 0.500 0.367
As: 0.000 0.000 0.451
As: 0.500 0.500 0.734